First-principles (GGA-PBE) data for a geometry-optimized NaTc2HPd structure, as listed in the Alexandria database.

a b c (Å): 3.763 4.626 3.763
angles (deg): 90.00 90.00 90.00
Fractional coordinates of all 5 atoms:
Na1 0.000 0.500 0.000
Tc1 0.000 0.000 0.500
Tc2 0.500 0.000 0.000
Pd1 0.500 0.500 0.500
H1 0.000 0.000 0.000

Results
Its crystal system is tetragonal. For the total magnetization, the calculation gives 0.00 μB/f.u. As for the theoretical density: 8.27 g/cm³. The calculated total energy comes out at -28.43 eV/cell. As for the density of states at the Fermi level: 0.82 states/eV per atom.

First-principles (GGA-PBE) data for a geometry-optimized MgInNiTe2 structure, as listed in the Alexandria database.

a b c (Å): 5.758 5.175 5.758
angles (deg): 90.00 90.00 90.00
Site moments in Bohr magnetons follow the coordinates.
Fractional coordinates of all 5 atoms:
Ni1 0.500 0.500 0.500  0.94
Mg1 0.000 0.500 0.000  0.00
Te1 0.000 0.000 0.500  0.06
Te2 0.500 0.000 0.000  0.07
In1 0.000 0.000 0.000  0.00

Results
Its crystal system is tetragonal. The value obtained for the formation energy (no corrections) is 933 meV per atom. For the total magnetization, the calculation gives 1.15 μB/f.u. As for the theoretical density: 4.38 g/cm³. As for the density of states at the Fermi level: 1.62 states/eV per atom.

First-principles (GGA-PBE) data for a geometry-optimized Sr2BeN2 structure, as listed in the Alexandria database.

a b c (Å): 5.198 6.242 8.017
angles (deg): 128.15 90.00 114.61
Fractional coordinates of all 10 atoms:
Sr1 0.672 0.344 0.540
Sr2 0.328 0.656 0.460
Sr3 0.102 0.203 0.812
Sr4 0.898 0.797 0.188
Be1 0.380 0.760 0.852
Be2 0.620 0.240 0.148
N1 0.192 0.385 0.603
N2 0.808 0.615 0.397
N3 0.448 0.897 0.116
N4 0.552 0.103 0.884

Results
Its crystal system is monoclinic. The value obtained for the formation energy (no corrections) is -772 meV per atom. For the total magnetization, the calculation gives 0.00 μB/f.u. The polymorph energy (0 for the lowest one) comes out at 0 kJ/mol of formula units. As for the theoretical density: 4.06 g/cm³.

First-principles (GGA-PBE) data for a geometry-optimized RbPdI structure, as listed in the Alexandria database.

a b c (Å): 4.892 4.892 8.850
angles (deg): 73.96 73.96 90.00
Fractional coordinates of all 6 atoms:
I1 0.067 0.067 0.866
I2 0.817 0.317 0.366
Rb1 0.484 0.484 0.032
Rb2 0.234 0.734 0.532
Pd1 0.896 0.896 0.208
Pd2 0.646 0.146 0.708

Results
Its crystal system is tetragonal. The value obtained for the formation energy (no corrections) is -582 meV per atom. For the total magnetization, the calculation gives 0.00 μB/f.u. The polymorph energy (0 for the lowest one) comes out at 26 kJ/mol of formula units. As for the theoretical density: 5.43 g/cm³. As for the density of states at the Fermi level: 0.00 states/eV per atom.

Q: The highest total magnetization belongs to which entry?
A: MgInNiTe2